Entry 1:
Compound: Te2MoSI
Source: Alexandria
Functional: SCAN
Structure: single point on PBEsol structure

Summary:
The calculation puts the calculated total energy at -1.10655 hartree per atom. The density of states at the Fermi level comes out at 0.88 states/eV per atom. The density comes out at 6.016 g/cm3.

Cell and atoms, written as extended XYZ:
```
5
Lattice="-0.8271 4.0229 -3.2109 -3.7036 1.7933 3.2008 3.5525 2.7717 2.5576" Properties=species:S:1:pos:R:3 pbc="T T T"
I 1.7762 1.3858 1.2788
Mo -0.4891 4.2940 1.2737
Te -1.8518 0.8967 1.6004
Te -0.4135 2.0115 -1.6055
S 0.0000 0.0000 0.0000
```

Entry 2:
Compound: SbMo3I
Source: Alexandria
Functional: SCAN
Structure: single point on PBEsol structure

Summary:
The calculation puts the calculated total energy at -1.23686 hartree per atom. The density of states at the Fermi level comes out at 0.62 states/eV per atom. The density comes out at 7.791 g/cm3.

Cell and atoms, written as extended XYZ:
```
5
Lattice="-2.5971 -3.5695 -2.0181 3.9433 -2.8292 -0.0704 -1.1246 -1.6772 4.4138" Properties=species:S:1:pos:R:3 pbc="T T T"
I 0.0000 0.0000 0.0000
Sb 0.1108 -4.0380 1.1626
Mo 1.9717 -1.4146 -0.0352
Mo -0.5623 -0.8386 2.2069
Mo -1.2985 -1.7848 -1.0091
```

Entry 3:
Compound: ScSb2MoI
Source: Alexandria
Functional: SCAN
Structure: single point on PBEsol structure

Summary:
The calculation puts the calculated total energy at -1.15881 hartree per atom. The density of states at the Fermi level comes out at 0.65 states/eV per atom. The density comes out at 5.833 g/cm3.

Cell and atoms, written as extended XYZ:
```
5
Lattice="5.1078 0.0000 0.0000 0.0000 5.1078 0.0000 0.0000 0.0000 5.5797" Properties=species:S:1:pos:R:3 pbc="T T T"
I 0.0000 0.0000 2.7899
Sb 0.0000 2.5539 0.0000
Sb 2.5539 0.0000 0.0000
Mo 0.0000 0.0000 0.0000
Sc 2.5539 2.5539 2.7899
```

Entry 4:
Compound: Sb2MoSeI
Source: Alexandria
Functional: SCAN
Structure: single point on PBEsol structure

Summary:
The calculation puts the calculated total energy at -1.19936 hartree per atom. The density of states at the Fermi level comes out at 0.62 states/eV per atom. The density comes out at 6.541 g/cm3.

Cell and atoms, written as extended XYZ:
```
5
Lattice="-4.1665 2.7204 -1.0375 -0.6218 -2.6503 -4.4524 -2.9239 -3.5226 2.5052" Properties=species:S:1:pos:R:3 pbc="T T T"
I -2.0832 1.3602 -0.5188
Sb -1.4620 -1.7613 1.2526
Sb -0.3109 -1.3252 -2.2262
Mo 0.0000 0.0000 0.0000
Se -3.8561 -1.7263 -1.4923
```

Entry 5:
Compound: SrSb2MoI
Source: Alexandria
Functional: SCAN
Structure: single point on PBEsol structure

Summary:
The calculation puts the calculated total energy at -1.19563 hartree per atom. The density of states at the Fermi level comes out at 0.86 states/eV per atom. The density comes out at 4.401 g/cm3.

Cell and atoms, written as extended XYZ:
```
5
Lattice="5.9144 0.0000 0.0000 0.0000 5.9447 0.0000 0.0000 0.0000 5.9447" Properties=species:S:1:pos:R:3 pbc="T T T"
I 2.9572 0.0000 0.0000
Sb 0.0000 0.0000 2.9723
Sb 0.0000 2.9723 0.0000
Mo 2.9572 2.9723 2.9723
Sr 0.0000 0.0000 0.0000
```

Entry 6:
Compound: Sb2TeMoI
Source: Alexandria
Functional: SCAN
Structure: single point on PBEsol structure

Summary:
The calculation puts the calculated total energy at -1.28496 hartree per atom. The density of states at the Fermi level comes out at 0.75 states/eV per atom. The density comes out at 5.488 g/cm3.

Cell and atoms, written as extended XYZ:
```
5
Lattice="5.6106 0.0000 0.0000 0.0000 5.6599 0.0000 0.0000 0.0000 5.6599" Properties=species:S:1:pos:R:3 pbc="T T T"
I 0.0000 0.0000 0.0000
Sb 0.0000 0.0000 2.8300
Sb 0.0000 2.8300 0.0000
Mo 2.8053 2.8300 2.8300
Te 2.8053 0.0000 0.0000
```